La2InS5 | GGA-PBE | optimized geometry

The structure in POSCAR format:
```
La2InS5
1.0
2.7905 -7.1647 0.0000
2.7905 7.1647 0.0000
0.0000 0.0000 12.3000
La In S
4 2 10
Direct
0.1488 0.8512 0.5658
0.1488 0.8512 0.9342
0.8512 0.1488 0.0658
0.8512 0.1488 0.4342
0.1958 0.8042 0.2500
0.8042 0.1958 0.7500
0.0404 0.9596 0.1321
0.0404 0.9596 0.3679
0.2717 0.7283 0.7500
0.3048 0.6952 0.0840
0.3048 0.6952 0.4160
0.6952 0.3048 0.5840
0.6952 0.3048 0.9160
0.7283 0.2717 0.2500
0.9596 0.0404 0.6321
0.9596 0.0404 0.8679
```

Symmetry: Cmcm (63)
Uncorrected formation energy (eV per atom): -1.3129

***

La3Te4Pd | GGA-PBE | optimized geometry

The structure in POSCAR format:
```
La3Te4Pd
1.0
4.6264 0.0000 0.0000
0.0000 13.7303 0.0000
0.0000 0.0000 9.0274
La Te Pd
6 8 2
Direct
0.2500 0.0924 0.1715
0.2500 0.4076 0.1715
0.2500 0.7500 0.2987
0.7500 0.2500 0.7013
0.7500 0.5924 0.8285
0.7500 0.9076 0.8285
0.2500 0.0697 0.7888
0.2500 0.2500 0.4397
0.2500 0.4303 0.7888
0.2500 0.7500 0.9102
0.7500 0.2500 0.0898
0.7500 0.5697 0.2112
0.7500 0.7500 0.5603
0.7500 0.9303 0.2112
0.2500 0.2500 0.9231
0.7500 0.7500 0.0769
```

Symmetry: Pmmn (59)
Uncorrected formation energy (eV per atom): -1.3557

***

Ho6AgSb3 | GGA-PBE | optimized geometry

The structure in POSCAR format:
```
Ho6AgSb3
1.0
5.6216 -7.4858 0.0000
5.6216 7.4858 0.0000
0.0000 0.0000 7.1023
Ho Ag Sb
12 2 6
Direct
0.0192 0.9808 0.5000
0.0843 0.5344 0.9624
0.2537 0.7463 0.3740
0.2649 0.3686 0.3527
0.3686 0.2649 0.8527
0.4656 0.9157 0.9624
0.5344 0.0843 0.4624
0.6314 0.7351 0.3527
0.7351 0.6314 0.8527
0.7463 0.2537 0.8740
0.9157 0.4656 0.4624
0.9808 0.0192 0.0000
0.1676 0.8324 0.7667
0.8324 0.1676 0.2667
0.0702 0.2756 0.7055
0.2756 0.0702 0.2055
0.4188 0.5812 0.0436
0.5812 0.4188 0.5436
0.7244 0.9298 0.7055
0.9298 0.7244 0.2055
```

Symmetry: Cmc2_1 (36)
Uncorrected formation energy (eV per atom): -0.5565

***

ZnAgP | GGA-PBE | optimized geometry

The structure in POSCAR format:
```
ZnAgP
1.0
2.8743 0.0000 0.0000
0.0000 2.8743 0.0000
0.0000 0.0000 11.9084
Zn Ag P
2 2 2
Direct
0.0000 0.0000 0.0000
0.5000 0.5000 0.5000
0.0000 0.0000 0.3350
0.5000 0.5000 0.8350
0.0000 0.0000 0.6493
0.5000 0.5000 0.1493
```

Symmetry: I4mm (107)
Calculated formation energy (eV per atom): 0.273

***

RbPuCdSe3 | GGA-PBE | optimized geometry

The structure in POSCAR format:
```
RbPuCdSe3
1.0
9.2231 0.0000 0.0000
0.0000 4.3482 0.0000
-3.2401 0.0000 9.8958
Rb Pu Cd Se
2 2 2 6
Direct
0.2159 0.2500 0.2356
0.7841 0.7500 0.7644
0.3275 0.7500 0.8611
0.6725 0.2500 0.1389
0.0863 0.2500 0.6113
0.9137 0.7500 0.3887
0.1134 0.2500 0.8696
0.2216 0.7500 0.5433
0.4687 0.7500 0.1477
0.5313 0.2500 0.8523
0.7784 0.2500 0.4567
0.8866 0.7500 0.1304
```

Symmetry: P2_1/m (11)
Uncorrected formation energy (eV per atom): -1.1450

***

Tb8GeSb2 | GGA-PBE | optimized geometry

The structure in POSCAR format:
```
Tb8GeSb2
1.0
9.1643 -2.3517 0.0000
9.1643 2.3517 0.0000
-0.3064 0.0000 7.4394
Tb Ge Sb
8 1 2
Direct
0.0071 0.0071 0.2381
0.2178 0.2178 0.3595
0.3432 0.3432 0.9500
0.4026 0.4026 0.4673
0.5974 0.5974 0.5327
0.6568 0.6568 0.0500
0.7822 0.7822 0.6405
0.9929 0.9929 0.7619
0.5000 0.5000 0.0000
0.1745 0.1745 0.7795
0.8255 0.8255 0.2205
```

Symmetry: C2/m (12)
Uncorrected formation energy (eV per atom): -0.5112

***

Question: What is the formula in the third record?
Answer: Ho6AgSb3